No. 1
Here is crystalline GeN at its relaxed geometry from the Alexandria database. Energies are from PBE.

abc: 8.0866 8.0866 3.1139
angles: 90.00 90.00 120.00
Space group P6_3/m (No. 176)
Symmetry-distinct sites (fractional):
Ge (0.2080, 0.7860, 0.2500) (multiplicity 6)
N (0.0589, 0.7120, 0.7500) (multiplicity 6)

Values from the calculation:
* crystal system: hexagonal
* density of states at the Fermi level: 0.4068 states/eV/atom
* E above lowest polymorph: 0.207 eV/atom


No. 2
Here is crystalline GeN at its relaxed geometry from the Alexandria database. Energies are from PBE.

abc: 5.409 8.216 8.249
angles: 90.00 90.00 90.00
Space group Fddd (No. 70, origin choice 2)
Symmetry-distinct sites (fractional):
Ge (0.122, 0.375, 0.375) (multiplicity 16)
N (0.125, 0.300, 0.625) (multiplicity 16)

Values from the calculation:
* crystal system: orthorhombic
* E above lowest polymorph: 0.394 eV/atom


No. 3
Here is crystalline GeN at its relaxed geometry from the Alexandria database. Energies are from PBE.

abc: 4.494 4.494 4.494
angles: 90.00 90.00 90.00
Space group Fm-3m (No. 225)
Symmetry-distinct sites (fractional):
Ge (0.000, 0.000, 0.000) (multiplicity 4)
N (0.000, 0.000, 0.500) (multiplicity 4)

Values from the calculation:
* crystal system: cubic
* density of states at the Fermi level: 0.6726 states/eV/atom
* E above lowest polymorph: 0.550 eV/atom


No. 4
Here is crystalline GeN at its relaxed geometry from the Alexandria database. Energies are from PBE.

abc: 8.489 8.489 3.134
angles: 90.00 90.00 90.00
Space group I4/m (No. 87)
Symmetry-distinct sites (fractional):
Ge (0.094, 0.257, 0.000) (multiplicity 8)
N (0.136, 0.678, 0.000) (multiplicity 8)

Values from the calculation:
* crystal system: tetragonal
* density of states at the Fermi level: 0.3341 states/eV/atom
* E above lowest polymorph: 0.355 eV/atom


No. 5
Here is crystalline GeN at its relaxed geometry from the Alexandria database. Energies are from PBE.

abc: 6.536 6.536 6.536
angles: 90.00 90.00 90.00
Space group I-43m (No. 217)
Symmetry-distinct sites (fractional):
Ge (0.164, 0.164, 0.836) (multiplicity 8)
N (0.163, 0.163, 0.163) (multiplicity 8)

Values from the calculation:
* crystal system: cubic
* density of states at the Fermi level: 0.7018 states/eV/atom
* E above lowest polymorph: 0.649 eV/atom


No. 6
Here is crystalline GeN at its relaxed geometry from the Alexandria database. Energies are from PBE.

abc: 5.594 3.083 3.953
angles: 90.00 130.78 90.00
Space group Cm (No. 8)
Symmetry-distinct sites (fractional):
Ge (0.000, 0.000, 0.000) (multiplicity 2)
N (0.199, 0.000, 0.708) (multiplicity 2)

Values from the calculation:
* crystal system: monoclinic
* density of states at the Fermi level: 0.2543 states/eV/atom
* E above lowest polymorph: 0.346 eV/atom


No. 7
Here is crystalline NaGe2N2 at its relaxed geometry from the Alexandria database. Energies are from PBE.

abc: 5.862 14.651 4.913
angles: 90.00 122.64 90.00
Space group C2/c (No. 15)
Symmetry-distinct sites (fractional):
Na (0.000, 0.067, 0.250) (multiplicity 4)
Ge (0.189, 0.330, 0.072) (multiplicity 8)
N (0.000, 0.101, 0.750) (multiplicity 4)
N (0.000, 0.360, 0.250) (multiplicity 4)

Values from the calculation:
* crystal system: monoclinic
* density of states at the Fermi level: 0.1692 states/eV/atom


No. 8
Here is crystalline NaGeN3 at its relaxed geometry from the Alexandria database. Energies are from PBE.

abc: 4.221 4.221 4.221
angles: 90.00 90.00 90.00
Space group Pm-3m (No. 221)
Symmetry-distinct sites (fractional):
Na (0.000, 0.000, 0.000) (multiplicity 1)
Ge (0.500, 0.500, 0.500) (multiplicity 1)
N (0.000, 0.000, 0.500) (multiplicity 3)

Values from the calculation:
* crystal system: cubic
* density of states at the Fermi level: 0.3563 states/eV/atom


| no. | formation energy from raw total energies (meV per atom) | magnetic moment (μB/f.u.) |
| --- | --- | --- |
| 1 | 319 | 0.00 |
| 2 | 507 | 0.00 |
| 3 | 662 | 0.00 |
| 4 | 467 | 0.00 |
| 5 | 761 | 0.00 |
| 6 | 459 | 0.00 |
| 7 | 135 | 0.00 |
| 8 | 2596 | 6.00 |